## Mo3C (PBE)

Data for Mo3C after structural relaxation.

Geometry as CIF:
```
data_Mo3C
_space_group_name_H-M_alt 'P m m 2'
_space_group_IT_number 25
_cell_length_a 3.0014
_cell_length_b 4.1490
_cell_length_c 4.5110
_cell_angle_alpha 90.00
_cell_angle_beta 90.00
_cell_angle_gamma 90.00
loop_
_space_group_symop_operation_xyz
'x,y,z'
'-x,-y,z'
'-x,y,z'
'x,-y,z'
loop_
_atom_site_label
_atom_site_type_symbol
_atom_site_fract_x
_atom_site_fract_y
_atom_site_fract_z
Mo1 Mo 0.0000 0.0000 0.0000
Mo2 Mo 0.0000 0.5000 0.3473
Mo3 Mo 0.5000 0.5000 0.8063
C1 C 0.5000 0.0000 0.3494
```

## Properties
Formation enthalpy at 0 K: 877 meV per atom
Density of states at the Fermi level: 2.0 states/eV/cell

## Mo3C (PBE)

Data for Mo3C after structural relaxation.

Geometry as CIF:
```
data_Mo3C
_space_group_name_H-M_alt 'P 1 2/m 1'
_space_group_IT_number 10
_cell_length_a 3.0993
_cell_length_b 3.0310
_cell_length_c 6.1079
_cell_angle_alpha 90.00
_cell_angle_beta 104.66
_cell_angle_gamma 90.00
loop_
_space_group_symop_operation_xyz
'x,y,z'
'-x,-y,-z'
'-x,y,-z'
'x,-y,z'
loop_
_atom_site_label
_atom_site_type_symbol
_atom_site_fract_x
_atom_site_fract_y
_atom_site_fract_z
Mo1 Mo 0.0000 0.0000 0.0000
Mo2 Mo 0.3371 0.5000 0.7122
C1 C 0.0000 0.0000 0.5000
```

## Properties
Formation enthalpy at 0 K: 322 meV per atom
Density of states at the Fermi level: 2.3 states/eV/cell

## MoC3 (PBE)

Data for MoC3 after structural relaxation.

Geometry as CIF:
```
data_MoC3
_space_group_name_H-M_alt 'P 1 2/m 1'
_space_group_IT_number 10
_cell_length_a 2.8577
_cell_length_b 2.8259
_cell_length_c 4.1247
_cell_angle_alpha 90.00
_cell_angle_beta 96.29
_cell_angle_gamma 90.00
loop_
_space_group_symop_operation_xyz
'x,y,z'
'-x,-y,-z'
'-x,y,-z'
'x,-y,z'
loop_
_atom_site_label
_atom_site_type_symbol
_atom_site_fract_x
_atom_site_fract_y
_atom_site_fract_z
Mo1 Mo 0.0000 0.0000 0.0000
C1 C 0.0000 0.0000 0.5000
C2 C 0.4549 0.5000 0.6780
```

## Properties
Formation enthalpy at 0 K: 1752 meV per atom
Density of states at the Fermi level: 1.3 states/eV/cell

## Mo2C3N6 (PBE)

Data for Mo2C3N6 after structural relaxation.

Geometry as CIF:
```
data_Mo2C3N6
_space_group_name_H-M_alt 'C 1 2/m 1'
_space_group_IT_number 12
_cell_length_a 13.4140
_cell_length_b 3.1264
_cell_length_c 5.1683
_cell_angle_alpha 90.00
_cell_angle_beta 97.74
_cell_angle_gamma 90.00
loop_
_space_group_symop_operation_xyz
'x,y,z'
'-x,-y,-z'
'-x,y,-z'
'x,-y,z'
'x+1/2,y+1/2,z'
'-x+1/2,-y+1/2,-z'
'-x+1/2,y+1/2,-z'
'x+1/2,-y+1/2,z'
loop_
_atom_site_label
_atom_site_type_symbol
_atom_site_fract_x
_atom_site_fract_y
_atom_site_fract_z
Mo1 Mo 0.1304 0.0000 0.0598
C1 C 0.0000 0.0000 0.5000
C2 C 0.1725 0.5000 0.5847
N1 N 0.0106 0.0000 0.7425
N2 N 0.1572 0.5000 0.3476
N3 N 0.1944 0.5000 0.8302
```

## Properties
Uncorrected formation energy: 0.327 eV/atom
Density of states at the Fermi level: 11.3 states/eV/cell

## Mo2C3N6 (PBE)

Data for Mo2C3N6 after structural relaxation.

Geometry as CIF:
```
data_Mo2C3N6
_space_group_name_H-M_alt 'R -3 c'
_space_group_IT_number 167
_space_group_name_Hall '-R 3 2"c'
_cell_length_a 5.1247
_cell_length_b 5.1247
_cell_length_c 30.7637
_cell_angle_alpha 90.00
_cell_angle_beta 90.00
_cell_angle_gamma 120.00
loop_
_atom_site_label
_atom_site_type_symbol
_atom_site_fract_x
_atom_site_fract_y
_atom_site_fract_z
Mo1 Mo 0.0000 0.0000 0.1667
C1 C 0.0000 0.3346 0.2500
N1 N 0.0057 0.3493 0.5433
```

## Properties
Uncorrected formation energy: 0.107 eV/atom
Density of states at the Fermi level: 6.7 states/eV/cell

## MoC3N (PBE)

Data for MoC3N after structural relaxation.

Geometry as CIF:
```
data_MoC3N
_space_group_name_H-M_alt 'P m -3 m'
_space_group_IT_number 221
_space_group_name_Hall '-P 4 2 3'
_cell_length_a 3.4450
_cell_length_b 3.4450
_cell_length_c 3.4450
_cell_angle_alpha 90.00
_cell_angle_beta 90.00
_cell_angle_gamma 90.00
loop_
_atom_site_label
_atom_site_type_symbol
_atom_site_fract_x
_atom_site_fract_y
_atom_site_fract_z
Mo1 Mo 0.0000 0.0000 0.0000
C1 C 0.0000 0.5000 0.5000
N1 N 0.5000 0.5000 0.5000
```

## Properties
Uncorrected formation energy: 2.762 eV/atom
Density of states at the Fermi level: 3.6 states/eV/cell

## Mo4CN (PBE)

Data for Mo4CN after structural relaxation.

Geometry as CIF:
```
data_Mo4CN
_space_group_name_H-M_alt 'I 41 m d'
_space_group_IT_number 109
_space_group_name_Hall 'I 4bw -2'
_cell_length_a 7.1325
_cell_length_b 7.1325
_cell_length_c 6.0209
_cell_angle_alpha 90.00
_cell_angle_beta 90.00
_cell_angle_gamma 90.00
loop_
_atom_site_label
_atom_site_type_symbol
_atom_site_fract_x
_atom_site_fract_y
_atom_site_fract_z
Mo1 Mo 0.0000 0.2080 0.0000
Mo2 Mo 0.0000 0.2096 0.4998
C1 C 0.0000 0.0000 0.7471
N1 N 0.0000 0.0000 0.2525
```

## Properties
Uncorrected formation energy: -0.086 eV/atom
Density of states at the Fermi level: 22.6 states/eV/cell

## Mo4CN (PBE)

Data for Mo4CN after structural relaxation.

Geometry as CIF:
```
data_Mo4CN
_space_group_name_H-M_alt 'P 1 21/c 1'
_space_group_IT_number 14
_cell_length_a 5.4562
_cell_length_b 5.1007
_cell_length_c 5.5744
_cell_angle_alpha 90.00
_cell_angle_beta 103.04
_cell_angle_gamma 90.00
loop_
_space_group_symop_operation_xyz
'x,y,z'
'-x,-y,-z'
'-x,y+1/2,-z+1/2'
'x,-y+1/2,z+1/2'
loop_
_atom_site_label
_atom_site_type_symbol
_atom_site_fract_x
_atom_site_fract_y
_atom_site_fract_z
Mo1 Mo 0.1069 0.1464 0.1892
Mo2 Mo 0.3654 0.6705 0.1450
C1 C 0.0000 0.0000 0.5000
N1 N 0.5000 0.0000 0.0000
```

## Properties
Uncorrected formation energy: -0.003 eV/atom
Density of states at the Fermi level: 7.0 states/eV/cell

## MoCN3 (PBE)

Data for MoCN3 after structural relaxation.

Geometry as CIF:
```
data_MoCN3
_space_group_name_H-M_alt 'P m -3 m'
_space_group_IT_number 221
_space_group_name_Hall '-P 4 2 3'
_cell_length_a 3.3482
_cell_length_b 3.3482
_cell_length_c 3.3482
_cell_angle_alpha 90.00
_cell_angle_beta 90.00
_cell_angle_gamma 90.00
loop_
_atom_site_label
_atom_site_type_symbol
_atom_site_fract_x
_atom_site_fract_y
_atom_site_fract_z
Mo1 Mo 0.0000 0.0000 0.0000
C1 C 0.5000 0.5000 0.5000
N1 N 0.0000 0.5000 0.5000
```

## Properties
Uncorrected formation energy: 1.924 eV/atom
Density of states at the Fermi level: 2.3 states/eV/cell

## MoCN2 (PBE)

Data for MoCN2 after structural relaxation.

Geometry as CIF:
```
data_MoCN2
_space_group_name_H-M_alt 'I -4 2 d'
_space_group_IT_number 122
_space_group_name_Hall 'I -4 2bw'
_cell_length_a 4.4501
_cell_length_b 4.4501
_cell_length_c 6.8194
_cell_angle_alpha 90.00
_cell_angle_beta 90.00
_cell_angle_gamma 90.00
loop_
_atom_site_label
_atom_site_type_symbol
_atom_site_fract_x
_atom_site_fract_y
_atom_site_fract_z
Mo1 Mo 0.0000 0.0000 0.0000
C1 C 0.0000 0.0000 0.5000
N1 N 0.1363 0.2500 0.6250
```

## Properties
Uncorrected formation energy: 0.776 eV/atom
Density of states at the Fermi level: 4.5 states/eV/cell

## Mo3CN (PBE)

Data for Mo3CN after structural relaxation.

Geometry as CIF:
```
data_Mo3CN
_space_group_name_H-M_alt 'P m -3 m'
_space_group_IT_number 221
_space_group_name_Hall '-P 4 2 3'
_cell_length_a 4.0176
_cell_length_b 4.0176
_cell_length_c 4.0176
_cell_angle_alpha 90.00
_cell_angle_beta 90.00
_cell_angle_gamma 90.00
loop_
_atom_site_label
_atom_site_type_symbol
_atom_site_fract_x
_atom_site_fract_y
_atom_site_fract_z
Mo1 Mo 0.0000 0.0000 0.5000
C1 C 0.5000 0.5000 0.5000
N1 N 0.0000 0.0000 0.0000
```

## Properties
Uncorrected formation energy: 0.981 eV/atom
Density of states at the Fermi level: 4.4 states/eV/cell

## MoCN3 (PBE)

Data for MoCN3 after structural relaxation.

Geometry as CIF:
```
data_MoCN3
_space_group_name_H-M_alt 'P m -3 m'
_space_group_IT_number 221
_space_group_name_Hall '-P 4 2 3'
_cell_length_a 3.9226
_cell_length_b 3.9226
_cell_length_c 3.9226
_cell_angle_alpha 90.00
_cell_angle_beta 90.00
_cell_angle_gamma 90.00
loop_
_atom_site_label
_atom_site_type_symbol
_atom_site_fract_x
_atom_site_fract_y
_atom_site_fract_z
Mo1 Mo 0.0000 0.0000 0.0000
C1 C 0.5000 0.5000 0.5000
N1 N 0.0000 0.0000 0.5000
```

## Properties
Uncorrected formation energy: 2.272 eV/atom
Density of states at the Fermi level: 4.0 states/eV/cell

Per-record total DFT energy (no corrections), eV per formula unit: -38.21 -40.43 -31.49 -95.69 -98.11 -33.02 -61.39 -60.89 -35.41 -33.60 -45.14 -33.67